Entry 1:
An optimized crystal structure of Sr2MgTcN6. Source: OQMD, functional PBE.

E: -6.305 eV/atom
total moment: 4.359 μB/f.u.

Cell lengths 5.7015, 5.7015, 8.0683 Å; angles 90.00, 90.00, 90.00 degrees
Last column: nearest neighbours and their distance in Å.
Space group I4/m (No. 87)
One atom of each set of equivalent atoms:
Sr 0.0000 0.5000 0.2500 [4 per cell]  12 N 2.82-2.88
Mg 0.0000 0.0000 0.0000 [2 per cell]  6 N 2.08
Tc 0.0000 0.0000 0.5000 [2 per cell]  6 N 1.96
N 0.0000 0.0000 0.2574 [4 per cell]  1 Tc 1.96, 1 Mg 2.08
N 0.2369 0.7517 0.5000 [8 per cell]  1 Tc 1.96, 1 Mg 2.08


Entry 2:
An optimized crystal structure of LiTc. Source: OQMD, functional PBE.

E: -4.917 eV/atom
total moment: 0.001 μB/f.u.

Cell lengths 4.6394, 4.6394, 4.6394 Å; angles 90.00, 90.00, 90.00 degrees
Last column: nearest neighbours and their distance in Å.
Space group Fm-3m (No. 225)
One atom of each set of equivalent atoms:
Li 0.0000 0.0000 0.0000 [4 per cell]  6 Tc 2.32
Tc 0.0000 0.0000 0.5000 [4 per cell]  6 Li 2.32